Computed, not measured: a relaxed K2Ho2MoO6 crystal at the PBE with a Hubbard U level of DFT.

Calculated values
Uncorrected energy in eV per formula unit: -75.82

```
11
Lattice="5.784 0.023 0.075 -2.839 5.040 0.075 -1.028 -1.768 6.284" Properties=species:S:1:pos:R:3 pbc="T T T"
Ho -0.450 2.467 3.217
Mo -0.514 -0.884 3.142
K 4.376 0.842 0.075
K -1.431 4.220 0.075
O 0.434 0.745 2.067
O -1.427 0.650 4.243
O 3.344 2.645 2.191
O 1.483 2.550 4.367
Ho 2.367 0.828 3.217
O 1.270 -0.919 4.243
O 0.647 4.214 2.191
```